Model one:
Below is crystalline BaTcAg3 at its relaxed geometry, with properties calculated at the PBE-GGA level.

It has space group Pm-3m (No. 221), with a = 5.9070 Å, b = 5.9070 Å, c = 5.9070 Å, α = 90.00°, β = 90.00° and γ = 90.00°. Symmetry generates all atoms from Ba at (0.0000, 0.0000, 0.0000), Tc at (0.5000, 0.5000, 0.5000) and Ag at (0.0000, 0.0000, 0.5000).

For the density of states at the Fermi level, the calculation gives 8.86 states/eV per cell.

Model two:
Below is crystalline BaTcAg3 at its relaxed geometry, with properties calculated at the PBE-GGA level.

It has space group Pm-3m (No. 221), with a = 5.2397 Å, b = 5.2397 Å, c = 5.2397 Å, α = 90.00°, β = 90.00° and γ = 90.00°. Symmetry generates all atoms from Ba at (0.0000, 0.0000, 0.0000), Tc at (0.5000, 0.5000, 0.5000) and Ag at (0.0000, 0.5000, 0.5000).

For the density of states at the Fermi level, the calculation gives 3.35 states/eV per cell.

Energetically preferred structure: model two | next structure: +118.7 kJ/mol of atoms

Model one:
Below is crystalline BaAgTe4 at its relaxed geometry, with properties calculated at the PBE-GGA level.

It has space group F-43m (No. 216), with a = 9.2057 Å, b = 9.2057 Å, c = 9.2057 Å, α = 90.00°, β = 90.00° and γ = 90.00°. Symmetry generates all atoms from Ba at (0.0000, 0.0000, 0.0000), Ag at (0.2500, 0.2500, 0.2500) and Te at (0.1238, 0.1238, 0.6238).

For the density of states at the Fermi level, the calculation gives 12.98 states/eV per cell.

Model two:
Below is crystalline BaAgTe4 at its relaxed geometry, with properties calculated at the PBE-GGA level.

It has space group I4_1/amd (No. 141, origin choice 2), with a = 6.5259 Å, b = 6.5259 Å, c = 21.5146 Å, α = 90.00°, β = 90.00° and γ = 90.00°. Symmetry generates all atoms from Ba at (0.0000, 0.2500, 0.3750), Ag at (0.0000, 0.2500, 0.8750) and Te at (0.0000, 0.0313, 0.2209).

For the density of states at the Fermi level, the calculation gives 6.46 states/eV per cell.

Energetically preferred structure: model two | next structure: +23.6 kJ/mol of atoms